Material: SmZnGaIr
Method: DFT, PBE
State: relaxed

**Magnetization**: 0.00 μB per formula unit
**ΔE to the lowest computed polymorph**: 117 meV/atom

a = 4.6539 Å, b = 4.6539 Å, c = 4.6539 Å
α = 60.00°, β = 60.00°, γ = 60.00°
Fractional positions:
1 Zn 0.7500 0.7500 0.7500
2 Ir 0.5000 0.5000 0.5000
3 Ga 0.2500 0.2500 0.2500
4 Sm 0.0000 0.0000 0.0000